The following is a DFT calculation (PBE) of a geometry-optimized Pm3NdN4 structure.

E = -7.96 eV/atom
DOS at the Fermi energy = 1.36 states/eV/cell

Cell lengths 5.125, 5.125, 6.278 Å; angles 114.09, 114.09, 90.00 degrees
Atoms (fractional coordinates):
Nd1 0.000 0.000 0.000
N1 0.000 0.500 0.000
Pm1 0.250 0.750 0.500
N2 0.251 0.251 0.503
N3 0.749 0.749 0.497
Pm2 0.750 0.250 0.500
Pm3 0.500 0.500 0.000
N4 0.500 0.000 0.000

The following is a DFT calculation (PBE) of a geometry-optimized ZrZnSb2 structure.

E = -4.69 eV/atom
DOS at the Fermi energy = 2.85 states/eV/cell

Cell lengths 5.921, 5.921, 5.921 Å; angles 138.67, 138.67, 59.88 degrees
Atoms (fractional coordinates):
Zn1 0.499 0.499 0.000
Zr1 0.251 0.751 0.500
Sb1 0.000 0.000 0.000
Sb2 0.750 0.250 0.500